A plane-wave DFT calculation with GGA-PBE was carried out for TbReO4 after structural relaxation. Values from VASP.

```
&SYSTEM
  ibrav = 0, nat = 24, ntyp = 3
/
ATOMIC_SPECIES
Tb 158.93 Tb.upf
Re 186.21 Re.upf
O 16.00 O.upf
CELL_PARAMETERS angstrom
5.507 0.000 0.000
0.000 7.893 -1.492
0.000 -0.388 7.574
ATOMIC_POSITIONS crystal
Tb 0.750 0.402 0.601
Tb 0.750 0.402 0.101
Tb 0.250 0.598 0.899
Tb 0.250 0.598 0.399
Re 0.250 0.165 0.791
Re 0.250 0.165 0.291
Re 0.750 0.835 0.709
Re 0.750 0.835 0.209
O 0.999 0.000 0.749
O 0.501 0.000 0.249
O 0.252 0.175 0.544
O 0.248 0.175 0.044
O 0.498 0.366 0.842
O 0.002 0.366 0.841
O 0.002 0.366 0.342
O 0.498 0.366 0.341
O 0.502 0.634 0.659
O 0.998 0.634 0.658
O 0.998 0.634 0.159
O 0.502 0.634 0.158
O 0.752 0.825 0.956
O 0.748 0.825 0.456
O 0.499 0.000 0.751
O 0.001 0.000 0.251
```

Results
Space-group type: P2_1/c (14)
Energy relative to the lowest polymorph listed for this composition (meV/atom): 0.0
Formation energy without anion corrections (eV/atom): -2.38

=====

A plane-wave DFT calculation with GGA-PBE was carried out for Cs4Bi3Pb after structural relaxation. Values from VASP.

```
&SYSTEM
  ibrav = 0, nat = 16, ntyp = 3
/
ATOMIC_SPECIES
Cs 132.91 Cs.upf
Pb 207.20 Pb.upf
Bi 208.98 Bi.upf
CELL_PARAMETERS angstrom
-5.773 0.480 3.679
-8.643 -0.022 -7.160
-3.375 -10.416 2.462
ATOMIC_POSITIONS crystal
Cs 0.413 0.312 0.861
Cs 0.587 0.688 0.139
Cs 0.725 0.861 0.688
Cs 0.087 0.139 0.688
Cs 0.275 0.139 0.312
Cs 0.913 0.861 0.312
Cs 0.775 0.312 0.139
Cs 0.225 0.688 0.861
Pb 0.750 0.500 0.500
Pb 0.250 0.500 0.500
Bi 0.750 0.000 0.000
Bi 0.250 0.000 0.000
Bi 0.373 0.754 0.500
Bi 0.627 0.246 0.500
Bi 0.127 0.500 0.246
Bi 0.873 0.500 0.754
```

Results
Energy of formation (eV/atom): -0.2833
Space-group type: I4/mcm (140)

=====

A plane-wave DFT calculation with GGA-PBE was carried out for CdWAu after structural relaxation. Values from VASP.

```
&SYSTEM
  ibrav = 0, nat = 3, ntyp = 3
/
ATOMIC_SPECIES
Au 196.97 Au.upf
W 183.84 W.upf
Cd 112.41 Cd.upf
CELL_PARAMETERS angstrom
2.901 0.000 0.000
-1.451 2.512 0.000
0.000 0.000 7.353
ATOMIC_POSITIONS crystal
Au 0.000 0.000 0.991
W 0.667 0.333 0.675
Cd 0.333 0.667 0.334
```

Results
Energy of formation (eV/atom): 0.3867
Space-group type: P3m1 (156)
Energy relative to the lowest polymorph listed for this composition (meV/atom): 23.2

=====

A plane-wave DFT calculation with GGA-PBE was carried out for KCeCd after structural relaxation. Values from VASP.

```
&SYSTEM
  ibrav = 0, nat = 6, ntyp = 3
/
ATOMIC_SPECIES
Cd 112.41 Cd.upf
Ce 140.12 Ce.upf
K 39.10 K.upf
CELL_PARAMETERS angstrom
-1.745 -0.510 -3.073
2.377 -2.392 1.122
-13.550 -9.145 9.208
ATOMIC_POSITIONS crystal
Cd 0.597 0.193 0.000
Cd 0.293 0.586 0.500
Ce 0.627 0.255 0.359
Ce 0.627 0.255 0.641
K 0.261 0.522 0.840
K 0.261 0.522 0.160
```

Results
Energy of formation (eV/atom): 0.2481
Space-group type: Amm2 (38)

=====

A plane-wave DFT calculation with GGA-PBE was carried out for ScRh3Br after structural relaxation. Values from VASP.

```
&SYSTEM
  ibrav = 0, nat = 5, ntyp = 3
/
ATOMIC_SPECIES
Sc 44.96 Sc.upf
Rh 102.91 Rh.upf
Br 79.90 Br.upf
CELL_PARAMETERS angstrom
4.761 0.000 0.000
0.000 4.761 0.000
0.000 0.000 4.761
ATOMIC_POSITIONS crystal
Sc 0.000 0.000 0.000
Rh 0.000 0.500 0.000
Rh 0.000 0.000 0.500
Rh 0.500 0.000 0.000
Br 0.500 0.500 0.500
```

Results
Space-group type: Pm-3m (221)
Energy relative to the lowest polymorph listed for this composition (meV/atom): 517.6
Formation energy without anion corrections (eV/atom): 0.98

=====

A plane-wave DFT calculation with GGA-PBE was carried out for Nb2InH after structural relaxation. Values from VASP.

```
&SYSTEM
  ibrav = 0, nat = 4, ntyp = 3
/
ATOMIC_SPECIES
H 1.01 H.upf
Nb 92.91 Nb.upf
In 114.82 In.upf
CELL_PARAMETERS angstrom
0.000 3.224 3.224
3.224 0.000 3.224
3.224 3.224 0.000
ATOMIC_POSITIONS crystal
H 0.000 0.000 0.000
Nb 0.250 0.250 0.250
Nb 0.750 0.750 0.750
In 0.500 0.500 0.500
```

Results
Space-group type: Fm-3m (225)
Energy relative to the lowest polymorph listed for this composition (meV/atom): 751.9

=====

A plane-wave DFT calculation with GGA-PBE was carried out for CaY4Ir after structural relaxation. Values from VASP.

```
&SYSTEM
  ibrav = 0, nat = 6, ntyp = 3
/
ATOMIC_SPECIES
Ca 40.08 Ca.upf
Y 88.91 Y.upf
Ir 192.22 Ir.upf
CELL_PARAMETERS angstrom
5.183 -3.201 1.476
-0.396 -5.120 3.593
1.002 -5.663 -2.492
ATOMIC_POSITIONS crystal
Ca 0.750 0.750 0.750
Y 0.881 0.373 0.373
Y 0.373 0.373 0.881
Y 0.373 0.881 0.373
Y 0.373 0.373 0.373
Ir 0.000 0.000 0.000
```

Results
Energy of formation (eV/atom): 0.5747
Space-group type: F-43m (216)

=====

A plane-wave DFT calculation with GGA-PBE was carried out for K4Cu3F12 after structural relaxation. Values from VASP.

```
&SYSTEM
  ibrav = 0, nat = 19, ntyp = 3
/
ATOMIC_SPECIES
K 39.10 K.upf
Cu 63.55 Cu.upf
F 19.00 F.upf
CELL_PARAMETERS angstrom
-5.243 -5.474 2.099
7.249 -2.508 1.742
-1.473 6.672 3.896
ATOMIC_POSITIONS crystal
K 0.500 0.500 0.500
K 0.500 0.000 0.000
K 0.000 0.000 0.500
K 0.000 0.500 0.000
Cu 0.500 0.500 0.000
Cu 0.000 0.500 0.500
Cu 0.500 0.000 0.500
F 0.141 0.641 0.783
F 0.859 0.359 0.217
F 0.141 0.359 0.500
F 0.359 0.217 0.859
F 0.783 0.141 0.641
F 0.500 0.859 0.641
F 0.641 0.500 0.859
F 0.217 0.859 0.359
F 0.859 0.641 0.500
F 0.641 0.783 0.141
F 0.500 0.141 0.359
F 0.359 0.500 0.141
```

Results
Space-group type: Im-3 (204)
Formation energy without anion corrections (eV/atom): -2.08

=====

A plane-wave DFT calculation with GGA-PBE was carried out for GaReOs3 after structural relaxation. Values from VASP.

```
&SYSTEM
  ibrav = 0, nat = 5, ntyp = 3
/
ATOMIC_SPECIES
Re 186.21 Re.upf
Os 190.23 Os.upf
Ga 69.72 Ga.upf
CELL_PARAMETERS angstrom
-1.466 -0.424 -4.472
-3.012 -3.398 1.309
-3.333 3.256 0.784
ATOMIC_POSITIONS crystal
Re 0.000 0.000 0.000
Os 0.000 0.500 0.000
Os 0.000 0.000 0.500
Os 0.500 0.000 0.000
Ga 0.500 0.500 0.500
```

Results
Energy of formation (eV/atom): 2.1875
Space-group type: Pm-3m (221)
Energy relative to the lowest polymorph listed for this composition (meV/atom): 100.6

=====

A plane-wave DFT calculation with GGA-PBE was carried out for LiCeTm2Se4 after structural relaxation. Values from VASP.

```
&SYSTEM
  ibrav = 0, nat = 8, ntyp = 4
/
ATOMIC_SPECIES
Li 6.94 Li.upf
Ce 140.12 Ce.upf
Tm 168.93 Tm.upf
Se 78.96 Se.upf
CELL_PARAMETERS angstrom
4.043 0.000 0.000
0.000 7.040 0.134
0.000 -2.450 6.647
ATOMIC_POSITIONS crystal
Li 0.500 0.500 0.000
Ce 0.000 0.000 0.000
Tm 0.500 0.000 0.500
Tm 0.000 0.500 0.500
Se 0.500 0.263 0.259
Se 0.500 0.737 0.741
Se 0.000 0.256 0.745
Se 0.000 0.744 0.255
```

Results
Space-group type: P2/m (10)
Formation energy without anion corrections (eV/atom): -1.71

=====

A plane-wave DFT calculation with GGA-PBE was carried out for NaPrPb2 after structural relaxation. Values from VASP.

```
&SYSTEM
  ibrav = 0, nat = 4, ntyp = 3
/
ATOMIC_SPECIES
Pb 207.20 Pb.upf
Pr 140.91 Pr.upf
Na 22.99 Na.upf
CELL_PARAMETERS angstrom
-1.956 0.576 2.888
2.544 -1.416 2.005
4.061 8.727 1.010
ATOMIC_POSITIONS crystal
Pb 0.000 0.000 0.751
Pb 0.000 0.000 0.249
Pr 0.500 0.500 0.500
Na 0.500 0.500 0.000
```

Results
Energy of formation (eV/atom): -0.3356
Space-group type: P4/mmm (123)

=====

A plane-wave DFT calculation with GGA-PBE was carried out for CrMo2 after structural relaxation. Values from VASP.

```
&SYSTEM
  ibrav = 0, nat = 3, ntyp = 2
/
ATOMIC_SPECIES
Cr 52.00 Cr.upf
Mo 95.94 Mo.upf
CELL_PARAMETERS angstrom
0.542 -1.281 4.123
-2.196 3.138 2.065
-0.606 -3.306 -2.764
ATOMIC_POSITIONS crystal
Cr 0.000 0.000 0.000
Mo 0.313 0.813 0.500
Mo 0.687 0.187 0.500
```

Results
Energy of formation (eV/atom): 0.5353
Space-group type: Immm (71)
Energy relative to the lowest polymorph listed for this composition (meV/atom): 484.7

=====

A plane-wave DFT calculation with GGA-PBE was carried out for SrPOs4 after structural relaxation. Values from VASP.

```
&SYSTEM
  ibrav = 0, nat = 6, ntyp = 3
/
ATOMIC_SPECIES
Sr 87.62 Sr.upf
P 30.97 P.upf
Os 190.23 Os.upf
CELL_PARAMETERS angstrom
0.000 3.763 3.763
3.763 0.000 3.763
3.763 3.763 0.000
ATOMIC_POSITIONS crystal
Sr 0.000 0.000 0.000
P 0.750 0.750 0.750
Os 0.872 0.376 0.376
Os 0.376 0.376 0.872
Os 0.376 0.872 0.376
Os 0.376 0.376 0.376
```

Results
Energy of formation (eV/atom): 0.8443
Space-group type: F-43m (216)

=====

A plane-wave DFT calculation with GGA-PBE was carried out for GeBSb2Te after structural relaxation. Values from VASP.

```
&SYSTEM
  ibrav = 0, nat = 5, ntyp = 4
/
ATOMIC_SPECIES
Sb 121.76 Sb.upf
Ge 72.64 Ge.upf
Te 127.60 Te.upf
B 10.81 B.upf
CELL_PARAMETERS angstrom
-1.920 0.796 -4.397
3.007 -3.309 -1.912
-3.312 -3.482 0.816
ATOMIC_POSITIONS crystal
Sb 0.000 0.500 0.000
Sb 0.500 0.000 0.000
Ge 0.500 0.500 0.500
Te 0.000 0.000 0.500
B 0.000 0.000 0.000
```

Results
Space-group type: P4/mmm (123)
Energy relative to the lowest polymorph listed for this composition (meV/atom): 0.0
Formation energy without anion corrections (eV/atom): 0.75

=====

A plane-wave DFT calculation with GGA-PBE was carried out for In2IrSe after structural relaxation. Values from VASP.

```
&SYSTEM
  ibrav = 0, nat = 4, ntyp = 3
/
ATOMIC_SPECIES
In 114.82 In.upf
Ir 192.22 Ir.upf
Se 78.96 Se.upf
CELL_PARAMETERS angstrom
3.541 0.000 0.000
0.000 3.540 0.000
0.000 0.000 6.357
ATOMIC_POSITIONS crystal
In 0.000 0.000 0.021
In 0.000 0.000 0.479
Ir 0.500 0.500 0.250
Se 0.500 0.500 0.750
```

Results
Space-group type: P4/mmm (123)
Formation energy without anion corrections (eV/atom): 0.12

=====

A plane-wave DFT calculation with GGA-PBE was carried out for LaY3C after structural relaxation. Values from VASP.

```
&SYSTEM
  ibrav = 0, nat = 5, ntyp = 3
/
ATOMIC_SPECIES
Y 88.91 Y.upf
C 12.01 C.upf
La 138.91 La.upf
CELL_PARAMETERS angstrom
-4.507 2.228 -0.873
-2.168 -3.014 3.500
1.012 3.463 3.609
ATOMIC_POSITIONS crystal
Y 0.000 0.500 0.000
Y 0.000 0.000 0.500
Y 0.500 0.000 0.000
C 0.000 0.000 0.000
La 0.500 0.500 0.500
```

Results
Energy of formation (eV/atom): -0.0041
Space-group type: Pm-3m (221)
Energy relative to the lowest polymorph listed for this composition (meV/atom): 0.0

=====

A plane-wave DFT calculation with GGA-PBE was carried out for Na5IrAuN2 after structural relaxation. Values from VASP.

```
&SYSTEM
  ibrav = 0, nat = 9, ntyp = 4
/
ATOMIC_SPECIES
Na 22.99 Na.upf
Ir 192.22 Ir.upf
Au 196.97 Au.upf
N 14.01 N.upf
CELL_PARAMETERS angstrom
-1.821 -2.219 4.001
4.051 -2.785 0.299
3.610 5.772 4.844
ATOMIC_POSITIONS crystal
Na 0.000 0.000 0.500
Na 0.000 0.500 0.773
Na 0.500 0.000 0.227
Na 0.000 0.500 0.227
Na 0.500 0.000 0.773
Ir 0.000 0.000 0.000
Au 0.500 0.500 0.500
N 0.000 0.000 0.217
N 0.000 0.000 0.783
```

Results
Space-group type: P4/mmm (123)
Formation energy without anion corrections (eV/atom): -0.08

=====

A plane-wave DFT calculation with GGA-PBE was carried out for Sm2ThRh2 after structural relaxation. Values from VASP.

```
&SYSTEM
  ibrav = 0, nat = 10, ntyp = 3
/
ATOMIC_SPECIES
Sm 150.36 Sm.upf
Th 232.04 Th.upf
Rh 102.91 Rh.upf
CELL_PARAMETERS angstrom
-1.378 -3.044 1.984
2.479 -5.574 -3.024
7.060 -0.824 7.442
ATOMIC_POSITIONS crystal
Sm 0.597 0.741 0.066
Sm 0.854 0.599 0.694
Sm 0.403 0.259 0.934
Sm 0.146 0.401 0.306
Th 0.848 0.953 0.350
Th 0.152 0.047 0.650
Rh 0.128 0.869 0.876
Rh 0.424 0.704 0.448
Rh 0.872 0.131 0.124
Rh 0.576 0.296 0.552
```

Results
Energy of formation (eV/atom): -0.6585
Space-group type: C2/m (12)

=====

A plane-wave DFT calculation with GGA-PBE was carried out for CaZn2GaPt after structural relaxation. Values from VASP.

```
&SYSTEM
  ibrav = 0, nat = 5, ntyp = 4
/
ATOMIC_SPECIES
Ca 40.08 Ca.upf
Zn 65.41 Zn.upf
Ga 69.72 Ga.upf
Pt 195.08 Pt.upf
CELL_PARAMETERS angstrom
4.128 0.000 0.000
0.000 4.172 0.000
-2.064 -2.086 5.513
ATOMIC_POSITIONS crystal
Ca 0.443 0.443 0.886
Zn 0.691 0.191 0.382
Zn 0.055 0.055 0.111
Ga 0.828 0.828 0.657
Pt 0.195 0.695 0.389
```

Results
Energy of formation (eV/atom): -0.5018
Space-group type: Imm2 (44)
Energy relative to the lowest polymorph listed for this composition (meV/atom): 0.0

=====

A plane-wave DFT calculation with GGA-PBE was carried out for SmDyMgAu after structural relaxation. Values from VASP.

```
&SYSTEM
  ibrav = 0, nat = 4, ntyp = 4
/
ATOMIC_SPECIES
Sm 150.36 Sm.upf
Dy 162.50 Dy.upf
Mg 24.30 Mg.upf
Au 196.97 Au.upf
CELL_PARAMETERS angstrom
-0.125 3.387 -1.562
-3.700 -0.310 -0.374
-0.924 3.026 6.637
ATOMIC_POSITIONS crystal
Sm 0.000 0.000 0.869
Dy 0.000 0.000 0.340
Mg 0.500 0.500 0.598
Au 0.500 0.500 0.121
```

Results
Energy of formation (eV/atom): -0.4575
Space-group type: P4mm (99)
Energy relative to the lowest polymorph listed for this composition (meV/atom): 0.0